{"formula": "Ca3TeSe4", "functional": "PBE-GGA", "state": "optimized geometry", "volume_a3_per_atom": 31.80, "formation_energy_uncorrected_mev_per_atom": -1372.0, "spacegroup": "No. 31", "cell": [[5.772, 0.000, 0.000], [0.000, 8.910, 0.000], [0.000, 0.000, 9.894]], "species": ["Ca", "Ca", "Ca", "Ca", "Ca", "Ca", "Te", "Te", "Se", "Se", "Se", "Se", "Se", "Se", "Se", "Se"], "frac_coords": [[0.567, 0.896, 0.000], [0.063, 0.657, 0.212], [0.563, 0.343, 0.288], [0.067, 0.104, 0.500], [0.563, 0.343, 0.712], [0.063, 0.657, 0.788], [0.042, 0.319, 0.000], [0.542, 0.681, 0.500], [0.066, 0.874, 0.000], [0.589, 0.238, 0.000], [0.062, 0.337, 0.286], [0.562, 0.663, 0.214], [0.089, 0.762, 0.500], [0.566, 0.126, 0.500], [0.562, 0.663, 0.786], [0.062, 0.337, 0.714]]}



{"formula": "RbLi2Tc", "functional": "PBE-GGA", "state": "optimized geometry", "volume_a3_per_atom": 24.81, "e_above_lowest_polymorph_mev_per_atom": 0, "formation_energy_ev_per_fu": 4.35, "spacegroup": "No. 225", "cell": [[2.738, -4.290, -1.052], [1.189, -3.324, 3.814], [-2.294, -4.659, 0.195]], "species": ["Tc", "Rb", "Li", "Li"], "frac_coords": [[0.500, 0.500, 0.500], [0.000, 0.000, 0.000], [0.250, 0.250, 0.250], [0.750, 0.750, 0.750]]}



{"formula": "MoRu2", "functional": "PBE-GGA", "state": "optimized geometry", "volume_a3_per_atom": 14.78, "formation_energy_ev_per_fu": 0.15, "spacegroup": "No. 62", "cell": [[-1.717, 1.482, 4.814], [3.683, -1.207, 1.685], [2.913, 7.230, -1.187]], "species": ["Ru", "Ru", "Ru", "Ru", "Ru", "Ru", "Ru", "Ru", "Mo", "Mo", "Mo", "Mo"], "frac_coords": [[0.045, 0.250, 0.218], [0.177, 0.250, 0.563], [0.323, 0.750, 0.063], [0.455, 0.750, 0.718], [0.545, 0.250, 0.282], [0.677, 0.250, 0.937], [0.823, 0.750, 0.437], [0.955, 0.750, 0.782], [0.198, 0.250, 0.891], [0.302, 0.750, 0.391], [0.698, 0.250, 0.609], [0.802, 0.750, 0.109]]}



{"formula": "La5Tb3Tm", "functional": "PBE-GGA", "state": "optimized geometry", "volume_a3_per_atom": 35.69, "e_above_lowest_polymorph_mev_per_atom": 151, "formation_energy_ev_per_fu": 2.71, "spacegroup": "No. 140", "cell": [[9.497, 0.000, 0.000], [0.000, 9.497, 0.000], [-4.748, -4.748, 7.124]], "species": ["La", "La", "La", "La", "La", "La", "La", "La", "La", "La", "Tb", "Tb", "Tb", "Tb", "Tb", "Tb", "Tm", "Tm"], "frac_coords": [[0.067, 0.567, 0.730], [0.663, 0.163, 0.730], [0.163, 0.067, 0.730], [0.567, 0.663, 0.730], [0.933, 0.433, 0.270], [0.337, 0.837, 0.270], [0.837, 0.933, 0.270], [0.433, 0.337, 0.270], [0.500, 0.500, 0.000], [0.000, 0.000, 0.000], [0.609, 0.109, 0.000], [0.391, 0.891, 0.000], [0.891, 0.609, 0.000], [0.109, 0.391, 0.000], [0.250, 0.250, 0.500], [0.750, 0.750, 0.500], [0.750, 0.250, 0.500], [0.250, 0.750, 0.500]]}



{"formula": "MgZnCd4", "functional": "PBE-GGA", "state": "optimized geometry", "volume_a3_per_atom": 22.43, "e_above_lowest_polymorph_mev_per_atom": 29, "formation_energy_ev_per_fu": 0.21, "spacegroup": "No. 12", "cell": [[4.778, -0.068, -1.367], [-0.655, 7.212, -2.647], [-0.769, -1.082, 8.471]], "species": ["Mg", "Mg", "Zn", "Zn", "Cd", "Cd", "Cd", "Cd", "Cd", "Cd", "Cd", "Cd"], "frac_coords": [[0.177, 0.188, 0.376], [0.823, 0.812, 0.624], [0.746, 0.500, 0.999], [0.254, 0.500, 0.001], [0.802, 0.310, 0.620], [0.643, 0.383, 0.273], [0.000, 0.181, 0.000], [0.357, 0.110, 0.727], [0.198, 0.690, 0.380], [0.357, 0.617, 0.727], [0.000, 0.819, 0.000], [0.643, 0.890, 0.273]]}



{"formula": "AlZn8Cu2", "functional": "PBE-GGA", "state": "optimized geometry", "volume_a3_per_atom": 14.55, "formation_energy_ev_per_fu": 0.01, "spacegroup": "No. 12", "cell": [[-3.024, 0.987, 2.229], [-3.960, -2.096, -4.442], [2.563, -5.907, 2.709]], "species": ["Al", "Zn", "Zn", "Zn", "Zn", "Zn", "Zn", "Zn", "Zn", "Cu", "Cu"], "frac_coords": [[0.500, 0.000, 0.000], [0.598, 0.473, 0.197], [0.317, 0.082, 0.633], [0.143, 0.210, 0.287], [0.046, 0.728, 0.091], [0.857, 0.790, 0.713], [0.683, 0.918, 0.367], [0.402, 0.527, 0.803], [0.954, 0.272, 0.909], [0.227, 0.642, 0.453], [0.773, 0.358, 0.547]]}



{"formula": "La4Te2PbSe", "functional": "PBE-GGA", "state": "optimized geometry", "volume_a3_per_atom": 33.41, "formation_energy_uncorrected_mev_per_atom": -1459.0, "spacegroup": "No. 10", "cell": [[-2.182, -1.548, -3.700], [0.636, -7.411, 2.726], [-6.253, -1.724, 4.409]], "species": ["La", "La", "La", "La", "Te", "Te", "Pb", "Se"], "frac_coords": [[0.000, 0.735, 0.762], [0.000, 0.265, 0.238], [0.500, 0.741, 0.246], [0.500, 0.259, 0.754], [0.000, 0.000, 0.000], [0.500, 0.000, 0.500], [0.000, 0.500, 0.500], [0.500, 0.500, 0.000]]}



{"formula": "BaZr6Se12", "functional": "PBE-GGA", "state": "optimized geometry", "volume_a3_per_atom": 23.78, "formation_energy_uncorrected_mev_per_atom": -1146.6, "spacegroup": "No. 166", "cell": [[8.248, -0.303, -0.426], [-2.338, 7.916, -0.426], [-2.338, -3.011, 7.333]], "species": ["Ba", "Zr", "Zr", "Zr", "Zr", "Zr", "Zr", "Se", "Se", "Se", "Se", "Se", "Se", "Se", "Se", "Se", "Se", "Se", "Se"], "frac_coords": [[0.000, 0.000, 0.000], [0.742, 0.285, 0.285], [0.285, 0.285, 0.742], [0.285, 0.742, 0.285], [0.715, 0.715, 0.258], [0.258, 0.715, 0.715], [0.715, 0.258, 0.715], [0.885, 0.115, 0.500], [0.858, 0.595, 0.595], [0.595, 0.595, 0.858], [0.405, 0.142, 0.405], [0.405, 0.405, 0.142], [0.142, 0.405, 0.405], [0.115, 0.500, 0.885], [0.500, 0.885, 0.115], [0.115, 0.885, 0.500], [0.885, 0.500, 0.115], [0.500, 0.115, 0.885], [0.595, 0.858, 0.595]]}



{"formula": "SrVIr", "functional": "PBE-GGA", "state": "optimized geometry", "volume_a3_per_atom": 24.09, "e_above_lowest_polymorph_mev_per_atom": 0, "formation_energy_ev_per_fu": -0.79, "spacegroup": "No. 129", "cell": [[-0.141, 1.751, 3.969], [0.920, -3.869, 1.739], [7.494, 1.587, -0.434]], "species": ["Sr", "Sr", "Ir", "Ir", "V", "V"], "frac_coords": [[0.000, 0.500, 0.666], [0.500, 0.000, 0.334], [0.000, 0.500, 0.151], [0.500, 0.000, 0.849], [0.000, 0.000, 0.000], [0.500, 0.500, 0.000]]}



{"formula": "Sr2MgGaN", "functional": "PBE-GGA", "state": "optimized geometry", "volume_a3_per_atom": 24.30, "formation_energy_uncorrected_mev_per_atom": -418.3, "spacegroup": "No. 123", "cell": [[-4.122, 1.803, -2.994], [2.676, -1.350, -4.498], [-1.730, -3.781, 0.105]], "species": ["Sr", "Sr", "Mg", "Ga", "N"], "frac_coords": [[0.000, 0.500, 0.000], [0.500, 0.000, 0.000], [0.000, 0.000, 0.500], [0.500, 0.500, 0.500], [0.000, 0.000, 0.000]]}



{"formula": "TmCo4Mo", "functional": "PBE-GGA", "state": "optimized geometry", "volume_a3_per_atom": 13.26, "formation_energy_ev_per_fu": 0.07, "spacegroup": "No. 216", "cell": [[4.828, 0.000, 0.000], [2.414, 4.181, 0.000], [2.414, 1.394, 3.942]], "species": ["Mo", "Tm", "Co", "Co", "Co", "Co"], "frac_coords": [[0.250, 0.250, 0.250], [0.000, 0.000, 0.000], [0.626, 0.626, 0.123], [0.626, 0.123, 0.626], [0.626, 0.626, 0.626], [0.123, 0.626, 0.626]]}



{"formula": "CaNdRh", "functional": "PBE-GGA", "state": "optimized geometry", "volume_a3_per_atom": 28.07, "e_above_lowest_polymorph_mev_per_atom": 45, "formation_energy_ev_per_fu": -1.21, "spacegroup": "No. 216", "cell": [[-1.025, 3.910, -2.806], [-4.274, 0.234, -2.427], [-3.459, 3.202, 1.412]], "species": ["Rh", "Ca", "Nd"], "frac_coords": [[0.250, 0.250, 0.250], [0.500, 0.500, 0.500], [0.000, 0.000, 0.000]]}